PmNd4Dy4: optimized geometry, PBE-GGA.

a = 5.1102 Å, b = 8.0890 Å, c = 8.0890 Å
α = 84.27°, β = 71.59°, γ = 71.59°
Closest atoms and distances in Å follow each position.
Sites, in units of the cell vectors:
Nd 0.6674 0.9999 0.6654  4 Nd 3.60-3.63, 6 Dy 3.61-3.63, 2 Pm 3.62
Nd 0.3328 0.3346 0.9999  4 Nd 3.60-3.63, 6 Dy 3.61-3.63, 2 Pm 3.62
Nd 0.3326 0.0001 0.3346  4 Nd 3.60-3.63, 6 Dy 3.61-3.63, 2 Pm 3.62
Nd 0.6672 0.6654 0.0001  4 Nd 3.60-3.63, 6 Dy 3.61-3.63, 2 Pm 3.62
Dy 0.3356 0.6645 0.6644  5 Dy 3.57-3.59, 6 Nd 3.61-3.63, 1 Pm 3.64
Dy 0.6644 0.3355 0.3356  5 Dy 3.57-3.59, 6 Nd 3.61-3.63, 1 Pm 3.64
Dy 0.0000 0.3356 0.6645  5 Dy 3.57-3.59, 6 Nd 3.61-3.63, 1 Pm 3.64
Dy 0.0000 0.6644 0.3355  5 Dy 3.57-3.59, 6 Nd 3.61-3.63, 1 Pm 3.64
Pm 0.0000 0.0000 0.0000  8 Nd 3.62, 4 Dy 3.64

- energy above the lowest structure with this stoichiometry (meV/atom) = 0.0
- energy relative to the elements (eV/atom) = 0.02
- space group = I4/mmm, No. 139
- D(E_F) (states/eV/atom) = 1.521
- E_tot (eV/atom) = -4.6744